## YP2Br (GGA-PBE)

Data for a geometry-optimized YP2Br structure.

Structure (POSCAR):
```
YP2Br
1.0
4.2300 0.0000 0.0000
0.0000 3.5720 0.0000
-0.0137 0.0000 7.4764
Y P Br
1 2 1
direct
0.0000 0.0000 0.0000 Y
0.4988 0.0000 0.7114 P
0.4997 0.5000 0.8926 P
0.0008 0.5000 0.2941 Br
```

ρ: 3.39 Mg/m³
DFT total energy: -22.6 eV per formula unit